DFT (GGA-PBE) results for a geometry-optimized ScSbPt3 structure.

Structure (POSCAR):
```
ScSbPt3
1.0
-4.5326 -1.7008 -0.1456
1.0165 -3.0212 3.6466
-1.3713 3.3821 3.1843
Sb Sc Pt
1 1 3
Direct
0.5000 0.5000 0.5000 Sb
0.0000 0.0000 0.0000 Sc
0.0000 0.0000 0.5000 Pt
0.0000 0.5000 0.0000 Pt
0.5000 0.0000 0.0000 Pt
```

## Properties
Density of states at the Fermi level   0.374 states/eV per atom
Distance to the lowest polymorph of the same formula   0.200 eV per atom